No. 1
The following is a DFT calculation (GGA-PBE) of a geometry-optimized HW2Br structure.

Cell and atoms, written as POSCAR:
```
HW2Br
1.0
0.000 3.012 3.012
3.012 0.000 3.012
3.012 3.012 0.000
Br W H
1 2 1
Cartesian
3.012 3.012 3.012
1.506 1.506 1.506
4.518 4.518 4.518
0.000 0.000 0.000
```

## Properties
uncorrected energy = -23.9 eV per formula unit
E above lowest polymorph = 0.762 eV/atom
space group = Fm-3m
magnetic moment = 0.00 μB/atom

=====

No. 2
The following is a DFT calculation (GGA-PBE) of a geometry-optimized Pm6AsC2Cl3 structure.

Cell and atoms, written as POSCAR:
```
Pm6AsC2Cl3
1.0
-1.522 2.493 -2.568
-4.476 -6.229 -3.395
-4.245 2.462 7.851
Pm Cl C As
6 3 2 1
Cartesian
-3.087 1.635 0.471
-7.156 -2.909 1.416
-5.178 -0.408 2.673
-1.426 -1.403 -0.517
-8.817 0.128 2.404
-5.064 -0.866 -0.785
-2.999 -1.868 -2.982
-4.881 2.670 2.539
-5.362 -3.944 -0.652
-3.210 -0.829 1.097
-7.033 -0.445 0.791
-0.761 1.247 -1.284
```

## Properties
uncorrected energy = -71.5 eV per formula unit
space group = C2/m
formation energy (no corrections) = -1.2005 eV/atom
magnetic moment = 0.00 μB/atom

=====

No. 3
The following is a DFT calculation (GGA-PBE) of a geometry-optimized Pr4CoPCl2 structure.

Cell and atoms, written as POSCAR:
```
Pr4CoPCl2
1.0
-3.623 1.604 -0.407
-2.667 -6.582 -2.186
-0.686 0.363 7.529
Cl Pr P Co
2 4 1 1
Cartesian
-2.155 0.983 3.561
-1.677 -3.110 2.671
-1.225 -1.414 5.330
-2.525 -0.543 0.848
-4.452 -4.073 4.087
-2.129 -4.806 0.013
-3.145 -2.489 -1.297
0.000 0.000 0.000
```

## Properties
uncorrected energy = -44.7 eV per formula unit
space group = P2/m
formation energy (no corrections) = -1.1730 eV/atom
magnetic moment = 0.00 μB/atom

=====

No. 4
The following is a DFT calculation (GGA-PBE) of a geometry-optimized Ga4MoRu5 structure.

Cell and atoms, written as POSCAR:
```
Ga4MoRu5
1.0
-0.946 2.843 0.437
-2.584 -0.638 -1.443
-6.426 -4.188 13.361
Ga Mo Ru
4 1 5
Cartesian
-2.578 -1.680 5.360
-1.325 -0.864 2.756
-5.100 -3.324 10.605
-3.848 -2.508 8.001
0.000 0.000 0.000
-7.515 -2.645 11.453
-6.250 -1.821 8.823
-4.978 -0.991 6.177
-2.440 0.662 0.901
-3.705 -0.162 3.531
```

## Properties
uncorrected energy = -71.9 eV per formula unit
space group = P4/mmm
magnetic moment = 0.00 μB/atom

=====

No. 5
The following is a DFT calculation (GGA-PBE) of a geometry-optimized TaTeCl3 structure.

Cell and atoms, written as POSCAR:
```
TaTeCl3
1.0
5.454 0.000 0.000
0.000 5.454 0.000
0.000 0.000 5.454
Cl Te Ta
3 1 1
Cartesian
0.000 0.000 2.727
2.727 0.000 0.000
0.000 2.727 0.000
0.000 0.000 0.000
2.727 2.727 2.727
```

## Properties
uncorrected energy = -15.4 eV per formula unit
E above lowest polymorph = 1.822 eV/atom
space group = Pm-3m
formation energy (no corrections) = 1.0319 eV/atom
magnetic moment = 0.83 μB/atom

=====

No. 6
The following is a DFT calculation (GGA-PBE) of a geometry-optimized Mn2CdHAu structure.

Cell and atoms, written as POSCAR:
```
Mn2CdHAu
1.0
3.955 0.000 0.000
0.000 3.955 0.000
0.000 0.000 4.362
Mn Au Cd H
2 1 1 1
Cartesian
0.000 1.978 0.000
1.978 0.000 0.000
1.978 1.978 2.181
0.000 0.000 2.181
0.000 0.000 0.000
```

## Properties
uncorrected energy = -25.1 eV per formula unit
space group = P4/mmm
magnetic moment = 1.36 μB/atom

=====

No. 7
The following is a DFT calculation (GGA-PBE) of a geometry-optimized SrScAu2 structure.

Cell and atoms, written as POSCAR:
```
SrScAu2
1.0
4.979 0.000 0.000
2.490 4.312 0.000
2.490 1.437 4.066
Au Sr Sc
2 1 1
Cartesian
2.490 1.437 1.016
0.000 0.000 0.000
7.469 4.312 3.049
4.979 2.875 2.033
```

## Properties
uncorrected energy = -15.9 eV per formula unit
E above lowest polymorph = 0.398 eV/atom
space group = F-43m
magnetic moment = 0.00 μB/atom

=====

No. 8
The following is a DFT calculation (GGA-PBE) of a geometry-optimized LiGa2Pb structure.

Cell and atoms, written as POSCAR:
```
LiGa2Pb
1.0
5.274 0.000 -0.166
0.000 4.548 0.000
-0.512 0.000 7.081
Li Ga Pb
2 4 2
Cartesian
0.100 0.000 0.232
0.405 0.000 3.117
3.951 2.274 2.644
2.775 0.000 1.333
3.202 2.274 6.962
1.180 2.274 1.545
3.056 0.000 4.660
0.512 2.274 5.354
```

## Properties
uncorrected energy = -12.1 eV per formula unit
space group = Pm
magnetic moment = 0.00 μB/atom

=====

Number 1: DOS at the Fermi energy 5.602 states/eV per cell. Number 2: DOS at the Fermi energy 2.942 states/eV per cell. Number 3: DOS at the Fermi energy 5.441 states/eV per cell. Number 4: DOS at the Fermi energy 9.250 states/eV per cell. Number 5: DOS at the Fermi energy 13.959 states/eV per cell. Number 6: DOS at the Fermi energy 3.540 states/eV per cell. Number 7: DOS at the Fermi energy 3.517 states/eV per cell. Number 8: DOS at the Fermi energy 2.857 states/eV per cell.